An optimized crystal structure of NdTl3Te2O9, computed with PBE-GGA.

Geometry as CIF:
```
data_NdTl3Te2O9
_cell_length_a 5.9777
_cell_length_b 5.9777
_cell_length_c 7.4421
_cell_angle_alpha 90.00
_cell_angle_beta 90.00
_cell_angle_gamma 120.00
_symmetry_space_group_name_H-M 'P -3 m 1'
_symmetry_Int_Tables_number 164
_symmetry_space_group_name_Hall '-P 3 2"'
loop_
_atom_site_label
_atom_site_type_symbol
_atom_site_fract_x
_atom_site_fract_y
_atom_site_fract_z
_atom_site_occupancy
Nd1 Nd 0.0000 0.0000 0.0000 1
Tl1 Tl 0.0000 0.0000 0.5000 1
Tl2 Tl 0.3333 0.6667 0.1731 1
Te1 Te 0.3333 0.6667 0.6633 1
O1 O 0.0000 0.5000 0.5000 1
O2 O 0.1790 0.3579 0.8055 1
```

Electronic total energy   -81.3 eV per cell
Volume   230.3 Å³/f.u.
Crystal system   trigonal
Energy relative to the elements, uncorrected   -1237 meV/atom